Computed, not measured: Cu5As2H4O12 at its PBEsol-relaxed geometry at the meta-GGA SCAN level of DFT.

```
Cu5As2H4O12
1.0
4.782 0.000 0.000
0.000 5.577 0.000
-0.826 0.000 17.462
Cu As H O
10 4 8 24
Cartesian
0.000 0.000 0.000
-0.413 2.788 8.731
-0.199 1.154 4.391
-0.612 1.634 13.121
0.324 2.954 1.456
-0.089 5.411 10.187
4.046 0.166 7.275
3.633 2.623 16.006
4.568 3.943 4.340
4.156 4.422 13.071
1.484 0.220 15.211
1.897 2.568 6.480
2.060 3.009 10.982
2.473 5.356 2.251
0.822 3.316 14.675
1.234 5.049 5.944
0.834 3.875 16.781
1.247 4.490 8.050
2.710 1.087 9.412
3.123 1.702 0.681
2.723 0.528 11.518
3.135 2.261 2.787
-0.123 3.069 14.361
0.290 5.296 5.630
-0.102 3.808 17.168
0.311 4.557 8.438
0.599 0.229 13.699
1.012 2.559 4.969
0.728 4.033 11.275
1.141 4.332 2.544
0.567 0.891 16.495
0.980 1.897 7.764
1.624 1.373 10.690
2.037 1.415 1.960
1.920 4.162 15.502
2.332 4.204 6.771
2.977 3.680 9.698
3.390 4.686 0.967
2.816 1.244 14.917
3.229 1.544 6.187
2.945 3.018 12.493
3.358 5.347 3.762
3.646 1.020 9.024
4.059 1.768 0.293
3.667 0.281 11.831
4.080 2.508 3.100
```

Computed properties:
The calculated total energy comes out at -9.949 eV per atom.

---

Computed, not measured: TaHg2Cl at its PBEsol-relaxed geometry at the meta-GGA SCAN level of DFT.

```
TaHg2Cl
1.0
4.459 0.000 0.000
0.000 1.544 5.631
0.000 -1.544 5.631
Ta Hg Cl
1 2 1
Cartesian
0.000 0.000 0.000
0.000 0.000 2.980
2.229 0.000 7.032
2.229 0.000 10.160
```

Computed properties:
The value obtained for the polymorph energy (0 for the lowest one) is 0.0 meV per atom. Its density of states at the Fermi level is 0.3161 states/eV per atom. The calculation puts the formation energy from raw total energies at 0.096 eV/atom.

---

Computed, not measured: CsInI4 at its PBEsol-relaxed geometry at the meta-GGA SCAN level of DFT.

```
CsInI4
1.0
7.286 0.000 0.000
0.000 18.486 0.000
-2.310 0.000 8.077
Cs In I
4 4 16
Cartesian
0.669 2.405 2.361
-0.486 6.837 6.400
5.463 11.648 1.677
4.308 16.080 5.715
-0.438 11.599 6.435
0.717 16.129 2.397
4.260 2.356 5.680
5.415 6.887 1.641
-0.443 2.897 6.423
0.712 6.345 2.385
1.833 10.122 0.667
0.678 17.606 4.705
0.749 10.113 4.491
1.904 17.615 0.453
1.875 13.733 2.941
0.721 13.995 6.979
4.256 4.491 1.097
3.101 4.752 5.136
3.072 0.870 7.624
4.227 8.373 3.585
4.299 0.879 3.372
3.144 8.363 7.410
4.265 12.140 5.692
5.420 15.588 1.654
```

Computed properties:
Its density of states at the Fermi level is 0.0000 states/eV per atom. The calculation puts the formation energy from raw total energies at -0.989 eV/atom.

---

Computed, not measured: Tl2Si2Cl at its PBEsol-relaxed geometry at the meta-GGA SCAN level of DFT.

```
Tl2Si2Cl
1.0
-1.729 1.729 9.959
1.729 -1.729 9.959
1.729 1.729 -9.959
Tl Si Cl
2 2 1
Cartesian
0.000 0.000 2.025
0.000 0.000 17.893
1.729 0.000 4.979
0.000 1.729 4.979
0.000 0.000 9.959
```

Computed properties:
Its density of states at the Fermi level is 0.3894 states/eV per atom. The calculation puts the formation energy from raw total energies at -0.027 eV/atom.